Here is a relaxed Li2AlIn crystal from Alexandria via LeMat-Bulk. Energies are from PBE-GGA.

Computed properties:
- calculated total energy (eV/atom) = -2.74
- size of the total moment (μB per atom) = 0.000
- ΔH_f (0 K) (eV/atom) = -0.165

a b c (Å): 3.117 3.117 7.387
angles (deg): 90.00 90.00 90.00
Space group P4/mmm (No. 123)
Asymmetric unit:
Li (0.000, 0.000, 0.238)
Al (0.500, 0.500, 0.000)
In (0.500, 0.500, 0.500)

***

Here is a relaxed LaW crystal from Alexandria via LeMat-Bulk. Energies are from PBE-GGA.

Computed properties:
- calculated total energy (eV/atom) = -8.25
- size of the total moment (μB per atom) = 0.000
- ΔH_f (0 K) (eV/atom) = 0.689
- ΔE to the lowest computed polymorph (meV per atom) = 344

a b c (Å): 4.378 3.296 7.010
angles (deg): 90.00 90.00 90.00
Space group Pmma (No. 51)
Asymmetric unit:
La (0.250, 0.000, 0.179)
W (0.250, 0.500, 0.591)

***

Here is a relaxed Ce3SnSb3 crystal from Alexandria via LeMat-Bulk. Energies are from PBE-GGA.

Computed properties:
- calculated total energy (eV/atom) = -5.51
- size of the total moment (μB per atom) = 0.394
- formation energy without anion corrections (kJ per mole of atoms) = -60.9

a b c (Å): 9.2516 9.2516 5.9668
angles (deg): 90.00 90.00 120.00
Space group P6_3/m (No. 176)
Asymmetric unit:
Ce (0.0853, 0.6701, 0.2500)
Sn (0.3333, 0.6667, 0.7500)
Sb (0.0505, 0.7467, 0.7500)

***

Here is a relaxed LiNiTe2 crystal from Alexandria via LeMat-Bulk. Energies are from PBE-GGA.

Computed properties:
- calculated total energy (eV/atom) = -3.76
- size of the total moment (μB per atom) = 0.000
- formation energy without anion corrections (kJ per mole of atoms) = -25.2

a b c (Å): 3.342 5.537 4.347
angles (deg): 90.00 90.00 90.00
Space group Pmm2 (No. 25)
Asymmetric unit:
Li (0.000, 0.000, 0.000)
Ni (0.500, 0.500, 0.545)
Te (0.000, 0.500, 0.036)
Te (0.500, 0.000, 0.502)

***

Here is a relaxed HoEr5Sc crystal from Alexandria via LeMat-Bulk. Energies are from PBE-GGA.

Computed properties:
- calculated total energy (eV/atom) = -4.56
- size of the total moment (μB per atom) = 0.000
- ΔH_f (0 K) (eV/atom) = 0.261
- ΔE to the lowest computed polymorph (meV per atom) = 194

a b c (Å): 6.425 6.502 10.177
angles (deg): 90.00 90.00 90.00
Space group Imm2 (No. 44)
Asymmetric unit:
Ho (0.000, 0.000, 0.000)
Er (0.000, 0.227, 0.355)
Er (0.000, 0.500, 0.615)
Er (0.230, 0.000, 0.655)
Sc (0.000, 0.500, 0.907)

***

Here is a relaxed AlAgAu3 crystal from Alexandria via LeMat-Bulk. Energies are from PBE-GGA.

Computed properties:
- calculated total energy (eV/atom) = -3.45
- size of the total moment (μB per atom) = 0.000
- ΔH_f (0 K) (eV/atom) = -0.162
- ΔE to the lowest computed polymorph (meV per atom) = 0

a b c (Å): 7.248 6.639 8.047
angles (deg): 90.00 109.34 90.00
Space group P2_1/c (No. 14)
Asymmetric unit:
Al (0.067, 0.206, 0.424)
Ag (0.286, 0.527, 0.770)
Au (0.118, 0.607, 0.399)
Au (0.297, 0.546, 0.141)
Au (0.434, 0.195, 0.006)

***

Here is a relaxed Cr3GeW crystal from Alexandria via LeMat-Bulk. Energies are from PBE-GGA.

Computed properties:
- calculated total energy (eV/atom) = -7.76
- size of the total moment (μB per atom) = 1.618
- ΔH_f (0 K) (eV/atom) = 1.532
- ΔE to the lowest computed polymorph (meV per atom) = 133

a b c (Å): 4.687 4.687 4.687
angles (deg): 90.00 90.00 90.00
Space group Pm-3m (No. 221)
Asymmetric unit:
Cr (0.000, 0.000, 0.500)
Ge (0.500, 0.500, 0.500)
W (0.000, 0.000, 0.000)

***

Here is a relaxed Na2LiCu2 crystal from Alexandria via LeMat-Bulk. Energies are from PBE-GGA.

Computed properties:
- calculated total energy (eV/atom) = -2.33
- size of the total moment (μB per atom) = 0.000
- ΔH_f (0 K) (eV/atom) = 0.217
- ΔE to the lowest computed polymorph (meV per atom) = 0

a b c (Å): 6.590 6.590 4.724
angles (deg): 90.00 90.00 90.00
Space group P4/mbm (No. 127)
Asymmetric unit:
Na (0.173, 0.327, 0.000)
Li (0.000, 0.000, 0.500)
Cu (0.127, 0.627, 0.500)

***

Here is a relaxed Tb2DyHoTe5 crystal from Alexandria via LeMat-Bulk. Energies are from PBE-GGA.

Computed properties:
- calculated total energy (eV/atom) = -4.47
- size of the total moment (μB per atom) = 0.061
- formation energy without anion corrections (kJ per mole of atoms) = -65.0

a b c (Å): 5.522 5.522 11.528
angles (deg): 90.00 90.00 90.00
Space group P4/mmm (No. 123)
Asymmetric unit:
Tb (0.000, 0.000, 0.152)
Dy (0.500, 0.500, 0.500)
Ho (0.500, 0.500, 0.000)
Te (0.000, 0.000, 0.500)
Te (0.000, 0.500, 0.000)
Te (0.500, 0.500, 0.254)

***

Here is a relaxed Ce9PaIn2 crystal from Alexandria via LeMat-Bulk. Energies are from PBE-GGA.

Computed properties:
- calculated total energy (eV/atom) = -5.80
- size of the total moment (μB per atom) = 0.472
- ΔH_f (0 K) (eV/atom) = -0.103

a b c (Å): 4.733 4.733 14.509
angles (deg): 90.00 90.00 90.00
Space group P4/mmm (No. 123)
Asymmetric unit:
Ce (0.000, 0.000, 0.000)
Ce (0.000, 0.000, 0.327)
Ce (0.000, 0.500, 0.162)
Ce (0.000, 0.500, 0.500)
Pa (0.500, 0.500, 0.000)
In (0.500, 0.500, 0.332)

***

Here is a relaxed Pu2TaSn crystal from Alexandria via LeMat-Bulk. Energies are from PBE-GGA.

Computed properties:
- calculated total energy (eV/atom) = -11.01
- size of the total moment (μB per atom) = 2.660
- ΔH_f (0 K) (eV/atom) = 0.119

a b c (Å): 4.001 4.001 5.887
angles (deg): 90.00 90.00 90.00
Space group P4/mmm (No. 123)
Asymmetric unit:
Pu (0.000, 0.000, 0.245)
Ta (0.500, 0.500, 0.000)
Sn (0.500, 0.500, 0.500)

***

Here is a relaxed Mg5W crystal from Alexandria via LeMat-Bulk. Energies are from PBE-GGA.

Computed properties:
- calculated total energy (eV/atom) = -3.07
- size of the total moment (μB per atom) = 0.285
- ΔH_f (0 K) (eV/atom) = 0.420
- ΔE to the lowest computed polymorph (meV per atom) = 187

a b c (Å): 5.3513 5.3513 4.9028
angles (deg): 90.00 90.00 120.00
Space group P-62m (No. 189)
Asymmetric unit:
Mg (0.0000, 0.6856, 0.0000)
Mg (0.3333, 0.6667, 0.5000)
W (0.0000, 0.0000, 0.5000)